Record 1
Compound: NaSm2CuS4
Source: Alexandria via LeMat-Bulk
Functional: PBE-GGA
Structure: optimized geometry

**Density**: 4.65 g/cm3
**Formation energy (no corrections)**: -1590.5 meV per atom

Geometry as CIF:
```
data_NaSm2CuS4
_chemical_formula_sum 'Na4 Sm8 Cu4 S16'
_space_group_name_H-M_alt 'C m c m'
_space_group_IT_number 63
_space_group_name_Hall '-C 2c 2'
_cell_length_a 3.9802
_cell_length_b 13.3222
_cell_length_c 13.8815
_cell_angle_alpha 90.00
_cell_angle_beta 90.00
_cell_angle_gamma 90.00
loop_
_atom_site_label
_atom_site_fract_x
_atom_site_fract_y
_atom_site_fract_z
Na1 0.0000 0.1107 0.2500
Sm1 0.0000 0.3652 0.0654
Cu1 0.0000 0.1583 0.7500
S1 0.0000 0.0000 0.0000
S2 0.0000 0.2688 0.6182
S3 0.0000 0.4421 0.2500
```

Record 2
Compound: NaSm2Cu2S4
Source: Alexandria via LeMat-Bulk
Functional: PBE-GGA
Structure: optimized geometry

**Density**: 5.59 g/cm3
**Formation energy (no corrections)**: -1212.0 meV per atom

Geometry as CIF:
```
data_NaSm2Cu2S4
_chemical_formula_sum 'Na2 Sm4 Cu4 S8'
_space_group_name_H-M_alt 'C 1 2/m 1'
_space_group_IT_number 12
_space_group_name_Hall '-C 2y'
_cell_length_a 14.3319
_cell_length_b 3.6975
_cell_length_c 7.0358
_cell_angle_alpha 90.00
_cell_angle_beta 112.59
_cell_angle_gamma 90.00
loop_
_atom_site_label
_atom_site_fract_x
_atom_site_fract_y
_atom_site_fract_z
Na1 0.0000 0.0000 0.0000
Sm1 0.1271 0.0000 0.5583
Cu1 0.1843 0.5000 0.0074
S1 0.0283 0.5000 0.7331
S2 0.2127 0.0000 0.2351
```

Record 3
Compound: NaCuSnS3
Source: Alexandria via LeMat-Bulk
Functional: PBE-GGA
Structure: optimized geometry

**Density**: 3.75 g/cm3
**Formation energy (no corrections)**: -560.4 meV per atom

Geometry as CIF:
```
data_NaCuSnS3
_chemical_formula_sum 'Na2 Cu2 Sn2 S6'
_space_group_name_H-M_alt 'P 1 21/m 1'
_space_group_IT_number 11
_space_group_name_Hall '-P 2yb'
_cell_length_a 7.3380
_cell_length_b 3.8479
_cell_length_c 9.9387
_cell_angle_alpha 90.00
_cell_angle_beta 107.92
_cell_angle_gamma 90.00
loop_
_atom_site_label
_atom_site_fract_x
_atom_site_fract_y
_atom_site_fract_z
Na1 0.1713 0.2500 0.1957
Cu1 0.0958 0.7500 0.5643
Sn1 0.3599 0.2500 0.8287
S1 0.0056 0.2500 0.6793
S2 0.2880 0.7500 0.0006
S3 0.4249 0.7500 0.6764
```

Record 4
Compound: NaCu2SnS
Source: Alexandria via LeMat-Bulk
Functional: PBE-GGA
Structure: optimized geometry

**Density**: 3.55 g/cm3
**Formation energy (no corrections)**: 642.0 meV per atom

Geometry as CIF:
```
data_NaCu2SnS
_chemical_formula_sum 'Na1 Cu2 Sn1 S1'
_space_group_name_H-M_alt 'P 4/m m m'
_space_group_IT_number 123
_space_group_name_Hall '-P 4 2'
_cell_length_a 4.8008
_cell_length_b 4.8008
_cell_length_c 6.1079
_cell_angle_alpha 90.00
_cell_angle_beta 90.00
_cell_angle_gamma 90.00
loop_
_atom_site_label
_atom_site_fract_x
_atom_site_fract_y
_atom_site_fract_z
Na1 0.0000 0.0000 0.0000
Cu1 0.0000 0.5000 0.5000
Sn1 0.0000 0.0000 0.5000
S1 0.5000 0.5000 0.0000
```

Record 5
Compound: Na4CuSn3S8
Source: Alexandria via LeMat-Bulk
Functional: PBE-GGA
Structure: optimized geometry

**Density**: 3.78 g/cm3
**Formation energy (no corrections)**: -654.1 meV per atom

Geometry as CIF:
```
data_Na4CuSn3S8
_chemical_formula_sum 'Na8 Cu2 Sn6 S16'
_space_group_name_H-M_alt 'C 1 2/m 1'
_space_group_IT_number 12
_space_group_name_Hall '-C 2y'
_cell_length_a 13.2252
_cell_length_b 7.5855
_cell_length_c 8.0279
_cell_angle_alpha 90.00
_cell_angle_beta 123.18
_cell_angle_gamma 90.00
loop_
_atom_site_label
_atom_site_fract_x
_atom_site_fract_y
_atom_site_fract_z
Na1 0.0000 0.0000 0.0000
Na2 0.0000 0.5000 0.0000
Na3 0.2500 0.2500 0.0000
Cu1 0.0000 0.0000 0.5000
Sn1 0.0000 0.5000 0.5000
Sn2 0.2500 0.2500 0.5000
S1 0.0114 0.2442 0.2894
S2 0.2404 0.0000 0.7174
S3 0.2432 0.5000 0.7297
```

Record 6
Compound: Na2CuSnS4
Source: Alexandria via LeMat-Bulk
Functional: PBE-GGA
Structure: optimized geometry

**Density**: 3.43 g/cm3
**Formation energy (no corrections)**: -548.4 meV per atom

Geometry as CIF:
```
data_Na2CuSnS4
_chemical_formula_sum 'Na4 Cu2 Sn2 S8'
_space_group_name_H-M_alt 'I -4 2 m'
_space_group_IT_number 121
_space_group_name_Hall 'I -4 2'
_cell_length_a 7.3110
_cell_length_b 7.3110
_cell_length_c 6.4556
_cell_angle_alpha 90.00
_cell_angle_beta 90.00
_cell_angle_gamma 90.00
loop_
_atom_site_label
_atom_site_fract_x
_atom_site_fract_y
_atom_site_fract_z
Na1 0.0000 0.5000 0.0000
Cu1 0.0000 0.0000 0.0000
Sn1 0.0000 0.0000 0.5000
S1 0.1708 0.1708 0.2423
```

Record 7
Compound: Na3CuSn3S8
Source: Alexandria via LeMat-Bulk
Functional: PBE-GGA
Structure: optimized geometry

**Density**: 3.71 g/cm3
**Formation energy (no corrections)**: -568.1 meV per atom

Geometry as CIF:
```
data_Na3CuSn3S8
_chemical_formula_sum 'Na9 Cu3 Sn9 S24'
_space_group_name_H-M_alt 'R -3 m'
_space_group_IT_number 166
_space_group_name_Hall '-R 3 2"'
_cell_length_a 7.4863
_cell_length_b 7.4863
_cell_length_c 20.5949
_cell_angle_alpha 90.00
_cell_angle_beta 90.00
_cell_angle_gamma 120.00
loop_
_atom_site_label
_atom_site_fract_x
_atom_site_fract_y
_atom_site_fract_z
Na1 0.0000 0.5000 0.0000
Cu1 0.0000 0.0000 0.5000
Sn1 0.0000 0.5000 0.5000
S1 0.0000 0.0000 0.2423
S2 0.0064 0.5032 0.2349
```

Record 8
Compound: NaSrCuS2
Source: Alexandria via LeMat-Bulk
Functional: PBE-GGA
Structure: optimized geometry

**Density**: 3.30 g/cm3
**Formation energy (no corrections)**: -1218.4 meV per atom

Geometry as CIF:
```
data_NaSrCuS2
_chemical_formula_sum 'Na2 Sr2 Cu2 S4'
_space_group_name_H-M_alt 'P 1 2/c 1'
_space_group_IT_number 13
_space_group_name_Hall '-P 2yc'
_cell_length_a 6.9025
_cell_length_b 4.6303
_cell_length_c 7.6930
_cell_angle_alpha 90.00
_cell_angle_beta 103.08
_cell_angle_gamma 90.00
loop_
_atom_site_label
_atom_site_fract_x
_atom_site_fract_y
_atom_site_fract_z
Na1 0.0000 0.0278 0.2500
Sr1 0.5000 0.2730 0.7500
Cu1 0.0000 0.5000 0.0000
S1 0.2653 0.2418 0.0397
```

Record 9
Compound: Na3TaCu2S6
Source: Alexandria via LeMat-Bulk
Functional: PBE-GGA
Structure: optimized geometry

**Density**: 4.15 g/cm3
**Formation energy (no corrections)**: -687.4 meV per atom

Geometry as CIF:
```
data_Na3TaCu2S6
_chemical_formula_sum 'Na6 Ta2 Cu4 S12'
_space_group_name_H-M_alt 'C 1 2/m 1'
_space_group_IT_number 12
_space_group_name_Hall '-C 2y'
_cell_length_a 6.1276
_cell_length_b 11.3689
_cell_length_c 6.8225
_cell_angle_alpha 90.00
_cell_angle_beta 106.54
_cell_angle_gamma 90.00
loop_
_atom_site_label
_atom_site_fract_x
_atom_site_fract_y
_atom_site_fract_z
Na1 0.0000 0.0000 0.0000
Na2 0.0000 0.3237 0.0000
Ta1 0.0000 0.5000 0.5000
Cu1 0.0000 0.1535 0.5000
S1 0.2395 0.5000 0.2740
S2 0.2484 0.3408 0.6969
```

Record 10
Compound: Na2TaCuS4
Source: Alexandria via LeMat-Bulk
Functional: PBE-GGA
Structure: optimized geometry

**Density**: 3.52 g/cm3
**Formation energy (no corrections)**: -912.4 meV per atom

Geometry as CIF:
```
data_Na2TaCuS4
_chemical_formula_sum 'Na4 Ta2 Cu2 S8'
_space_group_name_H-M_alt 'P m n 21'
_space_group_IT_number 31
_space_group_name_Hall 'P 2ac -2'
_cell_length_a 7.7926
_cell_length_b 7.4772
_cell_length_c 6.7811
_cell_angle_alpha 90.00
_cell_angle_beta 90.00
_cell_angle_gamma 90.00
loop_
_atom_site_label
_atom_site_fract_x
_atom_site_fract_y
_atom_site_fract_z
Na1 0.2481 0.1877 0.0000
Ta1 0.0000 0.6644 0.9941
Cu1 0.0000 0.3353 0.4920
S1 0.0000 0.3997 0.8274
S2 0.0000 0.6072 0.3239
S3 0.2474 0.8209 0.9144
```

Record 11
Compound: NaTb2Cu2S4
Source: Alexandria via LeMat-Bulk
Functional: PBE-GGA
Structure: optimized geometry

**Density**: 5.89 g/cm3
**Formation energy (no corrections)**: -1204.7 meV per atom

Geometry as CIF:
```
data_NaTb2Cu2S4
_chemical_formula_sum 'Na2 Tb4 Cu4 S8'
_space_group_name_H-M_alt 'C 1 2/m 1'
_space_group_IT_number 12
_space_group_name_Hall '-C 2y'
_cell_length_a 14.2439
_cell_length_b 3.6333
_cell_length_c 7.1371
_cell_angle_alpha 90.00
_cell_angle_beta 114.47
_cell_angle_gamma 90.00
loop_
_atom_site_label
_atom_site_fract_x
_atom_site_fract_y
_atom_site_fract_z
Na1 0.0000 0.0000 0.0000
Tb1 0.1277 0.0000 0.5619
Cu1 0.1857 0.5000 0.0199
S1 0.0296 0.5000 0.7304
S2 0.2113 0.0000 0.2518
```

Record 12
Compound: NaTbCuS2
Source: Alexandria via LeMat-Bulk
Functional: PBE-GGA
Structure: optimized geometry

**Density**: 4.41 g/cm3
**Formation energy (no corrections)**: -1024.9 meV per atom

Geometry as CIF:
```
data_NaTbCuS2
_chemical_formula_sum 'Na2 Tb2 Cu2 S4'
_space_group_name_H-M_alt 'P 1 2/c 1'
_space_group_IT_number 13
_space_group_name_Hall '-P 2yc'
_cell_length_a 6.7003
_cell_length_b 4.5909
_cell_length_c 7.6717
_cell_angle_alpha 90.00
_cell_angle_beta 99.23
_cell_angle_gamma 90.00
loop_
_atom_site_label
_atom_site_fract_x
_atom_site_fract_y
_atom_site_fract_z
Na1 0.0000 0.1354 0.2500
Tb1 0.5000 0.4907 0.7500
Cu1 0.5000 0.0000 0.0000
S1 0.2402 0.3060 0.9676
```

| no. | spin magnetization (μB/cell) |
| --- | --- |
| 1 | 0.000 |
| 2 | 0.000 |
| 3 | 0.000 |
| 4 | 0.673 |
| 5 | 0.017 |
| 6 | 2.131 |
| 7 | 1.874 |
| 8 | 0.000 |
| 9 | 0.001 |
| 10 | 0.000 |
| 11 | 0.001 |
| 12 | 0.000 |